Entry 1:
Computed, not measured: a relaxed LiPr2Rh crystal at the GGA-PBEsol level of DFT.

Lattice parameters (Å, degrees): 5.060 5.060 5.060 60.00 60.00 60.00
Atoms (fractional coordinates):
Li  0.000  0.000  0.000
Pr  0.250  0.250  0.250
Pr  0.750  0.750  0.750
Rh  0.500  0.500  0.500

Computed properties:
Crystal system: cubic
ΔH_f (0 K): -26.04 kJ per mole of atoms
Space group: Fm-3m

=====

Entry 2:
Computed, not measured: a relaxed LiPr2Ru crystal at the GGA-PBEsol level of DFT.

Lattice parameters (Å, degrees): 5.029 5.029 5.029 60.00 60.00 60.00
Atoms (fractional coordinates):
Li  0.000  0.000  0.000
Pr  0.250  0.250  0.250
Pr  0.750  0.750  0.750
Ru  0.500  0.500  0.500

Computed properties:
Crystal system: cubic
ΔH_f (0 K): -6.06 kJ per mole of atoms
Space group: Fm-3m

=====

Entry 3:
Computed, not measured: a relaxed LiPrS2 crystal at the GGA-PBEsol level of DFT.

Lattice parameters (Å, degrees): 4.025 4.025 5.497 90.00 90.00 90.00
Atoms (fractional coordinates):
Li  0.000  0.000  0.000
Pr  0.500  0.500  0.500
S  0.000  0.000  0.500
S  0.500  0.500  0.000

Computed properties:
Formation energy without anion corrections: -6.86 eV per formula unit
Crystal system: tetragonal
Space group: P4/mmm

=====

Entry 4:
Computed, not measured: a relaxed LiPrS2 crystal at the GGA-PBEsol level of DFT.

Lattice parameters (Å, degrees): 6.907 6.907 6.907 132.07 132.07 70.12
Atoms (fractional coordinates):
Li  0.375  0.625  0.750
Li  0.625  0.375  0.250
Pr  0.125  0.875  0.250
Pr  0.875  0.125  0.750
S  0.124  0.374  0.750
S  0.374  0.124  0.250
S  0.626  0.876  0.750
S  0.876  0.626  0.250

Computed properties:
Formation energy without anion corrections: -7.10 eV per formula unit
Crystal system: tetragonal
Space group: I4_1/amd

=====

Entry 5:
Computed, not measured: a relaxed LiPrSn crystal at the GGA-PBEsol level of DFT.

Lattice parameters (Å, degrees): 9.474 9.474 7.646 90.00 90.00 120.00
Atoms (fractional coordinates):
Li  0.167  0.333  0.000
Li  0.167  0.833  0.000
Li  0.333  0.167  0.500
Li  0.333  0.667  0.606
Li  0.667  0.333  0.106
Li  0.667  0.833  0.000
Li  0.833  0.167  0.500
Li  0.833  0.667  0.500
Pr  0.000  0.000  0.288
Pr  0.000  0.000  0.788
Pr  0.021  0.511  0.290
Pr  0.489  0.511  0.290
Pr  0.489  0.979  0.290
Pr  0.511  0.021  0.790
Pr  0.511  0.489  0.790
Pr  0.979  0.489  0.790
Sn  0.167  0.333  0.557
Sn  0.167  0.833  0.557
Sn  0.333  0.167  0.057
Sn  0.333  0.667  0.020
Sn  0.667  0.333  0.520
Sn  0.667  0.833  0.557
Sn  0.833  0.167  0.057
Sn  0.833  0.667  0.057

Computed properties:
Crystal system: hexagonal
ΔH_f (0 K): -65.83 kJ per mole of atoms
Space group: P6_3mc

=====

Entry 6:
Computed, not measured: a relaxed LiPrZn2 crystal at the GGA-PBEsol level of DFT.

Lattice parameters (Å, degrees): 4.833 4.833 4.833 60.00 60.00 60.00
Atoms (fractional coordinates):
Li  0.000  0.000  0.000
Pr  0.500  0.500  0.500
Zn  0.250  0.250  0.250
Zn  0.750  0.750  0.750

Computed properties:
Crystal system: cubic
ΔH_f (0 K): -23.06 kJ per mole of atoms
Space group: Fm-3m

=====

Entry 7:
Computed, not measured: a relaxed LiPt3 crystal at the GGA-PBEsol level of DFT.

Lattice parameters (Å, degrees): 5.417 5.417 8.839 90.00 90.00 120.00
Atoms (fractional coordinates):
Li  0.000  0.000  0.000
Li  0.000  0.000  0.500
Li  0.333  0.667  0.250
Li  0.667  0.333  0.750
Pt  0.000  0.500  0.000
Pt  0.000  0.500  0.500
Pt  0.165  0.331  0.750
Pt  0.165  0.835  0.750
Pt  0.331  0.165  0.250
Pt  0.500  0.000  0.000
Pt  0.500  0.000  0.500
Pt  0.500  0.500  0.000
Pt  0.500  0.500  0.500
Pt  0.669  0.835  0.750
Pt  0.835  0.165  0.250
Pt  0.835  0.669  0.250

Computed properties:
Crystal system: hexagonal
ΔH_f (0 K): -31.63 kJ per mole of atoms
Space group: P6_3/mmc

=====

Entry 8:
Computed, not measured: a relaxed LiPt crystal at the GGA-PBEsol level of DFT.

Lattice parameters (Å, degrees): 4.451 4.451 4.451 58.12 58.12 58.12
Atoms (fractional coordinates):
Li  0.117  0.117  0.117
Li  0.883  0.883  0.883
Pt  0.344  0.344  0.344
Pt  0.656  0.656  0.656

Computed properties:
Crystal system: trigonal
ΔH_f (0 K): -36.71 kJ per mole of atoms
Space group: R-3m

=====

Number 1: total moment 0.00 μB/f.u.. Number 2: total moment 0.00 μB/f.u.. Number 3: total moment 0.00 μB/f.u.. Number 4: total moment 0.00 μB/f.u.. Number 5: total moment 0.00 μB/f.u.. Number 6: total moment 0.00 μB/f.u.. Number 7: total moment 0.00 μB/f.u.. Number 8: total moment 0.00 μB/f.u..